This record from Alexandria describes Sc2PPt after structural relaxation. The functional is PBE-GGA.

abc: 6.5086 6.5086 6.5086
angles: 90.00 90.00 90.00
With the nearest neighbours (Å) after each atom.
Space group F-43m (No. 216)
Symmetry-distinct sites (fractional):
1 Sc 0.0000 0.0000 0.0000 x4  4 Sc 2.82, 4 Pt 2.82
2 Sc 0.2500 0.2500 0.2500 x4  4 Sc 2.82, 4 P 2.82
3 P 0.0000 0.0000 0.5000 x4  4 Sc 2.82, 4 Pt 2.82
4 Pt 0.2500 0.2500 0.7500 x4  4 Sc 2.82, 4 P 2.82

## Properties
E_form = -0.429 eV/atom
Calculated density = 7.6 g/cm³
Total moment = 1.0 μB per formula unit
Distance to the lowest polymorph of the same formula = 3.47 eV/f.u.